(1)
# NaCr2Rh2

A relaxed structure of NaCr2Rh2 (PBE-GGA, Alexandria via LeMat-Bulk).

Structure (extended XYZ):
```
10
Lattice="-2.6569 -7.0202 -0.4278 4.2655 -1.9720 5.8687 -1.9737 0.6463 1.6517" Properties=species:S:1:pos:R:3 pbc="T T T"
Rh 0.3890 -7.3403 3.3371
Cr 0.8413 -5.9676 5.4719
Na 0.0000 0.0000 0.0000
Na 0.8043 -4.4961 2.7204
Rh 1.2197 -1.6519 2.1038
Cr -1.2063 -2.3782 1.6206
Rh -1.1162 -4.6962 0.5038
Cr -1.7687 -6.2425 2.4608
Rh 2.7249 -4.2959 4.9371
Cr 1.4036 -2.1034 4.6318
```

Properties
The density of states at the Fermi level comes out at 12.1 states/eV/cell. The total energy comes out at -6.799 eV/atom. The space group is P4/mbm, No. 127. The value obtained for the magnetic moment is 4.204 μB/cell. The value obtained for the calculated formation energy is 255 meV per atom. As for the energy above the most stable polymorph in this dataset: 79.2 meV/atom.


(2)
# Na3CrRh

A relaxed structure of Na3CrRh (PBE-GGA, Alexandria via LeMat-Bulk).

Structure (extended XYZ):
```
5
Lattice="5.3874 0.0000 0.0000 0.0000 5.3874 0.0000 0.0000 0.0000 5.3874" Properties=species:S:1:pos:R:3 pbc="T T T"
Cr 0.0000 0.0000 0.0000
Na 0.0000 2.6937 0.0000
Na 0.0000 0.0000 2.6937
Na 2.6937 0.0000 0.0000
Rh 2.6937 2.6937 2.6937
```

Properties
The density of states at the Fermi level comes out at 1.3 states/eV/cell. The total energy comes out at -2.838 eV/atom. The space group is Pm-3m, No. 221. The value obtained for the magnetic moment is 6.048 μB/cell. The value obtained for the calculated formation energy is 1349 meV per atom. As for the energy above the most stable polymorph in this dataset: 347.5 meV/atom.